Record 1
Computed, not measured: a geometry-optimized HgP2SeS structure at the PBE level of DFT.

Its volume is 23.1 Å³/atom. The value obtained for the distance to the lowest polymorph of the same formula is 0 meV/atom.

It has space group P4/mmm (No. 123), with a = 4.908 Å, b = 4.908 Å, c = 4.784 Å, α = 90.00°, β = 90.00° and γ = 90.00°. The asymmetric unit holds Hg at (0.000, 0.000, 0.000), P at (0.000, 0.500, 0.500), Se at (0.500, 0.500, 0.500) and S at (0.500, 0.500, 0.000).

=====

Record 2
Computed, not measured: a geometry-optimized La4Ge2Rh structure at the PBE level of DFT.

Its volume is 28.5 Å³/atom. The value obtained for the distance to the lowest polymorph of the same formula is 6 meV/atom.

It has space group Cmmm (No. 65), with a = 7.726 Å, b = 10.208 Å, c = 5.066 Å, α = 90.00°, β = 90.00° and γ = 90.00°. The asymmetric unit holds La at (0.235, 0.000, 0.000), La at (0.250, 0.250, 0.500), Ge at (0.000, 0.269, 0.000) and Rh at (0.000, 0.000, 0.500).

=====

Record 3
Computed, not measured: a geometry-optimized Ta2RuAu structure at the PBE level of DFT.

Its volume is 17.2 Å³/atom. The value obtained for the distance to the lowest polymorph of the same formula is 202 meV/atom.

It has space group Cmm2 (No. 35), with a = 3.480 Å, b = 4.523 Å, c = 8.722 Å, α = 90.00°, β = 90.00° and γ = 90.00°. The asymmetric unit holds Ta at (0.000, 0.000, 0.000), Ta at (0.000, 0.500, 0.263), Ru at (0.000, 0.500, 0.776) and Au at (0.000, 0.000, 0.520).

=====

Record 4
Computed, not measured: a geometry-optimized HoErTe2O8 structure at the PBE level of DFT.

Its volume is 15.2 Å³/atom. The total energy comes out at -157.1 eV/cell.

It has space group I-4m2 (No. 119), with a = 7.311 Å, b = 7.311 Å, c = 6.841 Å, α = 90.00°, β = 90.00° and γ = 90.00°. The asymmetric unit holds Ho at (0.000, 0.000, 0.000), Er at (0.000, 0.500, 0.750), Te at (0.000, 0.000, 0.500), Te at (0.000, 0.500, 0.250), O at (0.000, 0.187, 0.704) and O at (0.000, 0.314, 0.046).

=====

Record 5
Computed, not measured: a geometry-optimized Tm3PuSc6 structure at the PBE level of DFT.

Its volume is 26.1 Å³/atom. The total energy comes out at -65.1 eV/cell.

It has space group Pm (No. 6), with a = 8.178 Å, b = 3.301 Å, c = 10.192 Å, α = 90.00°, β = 108.21° and γ = 90.00°. The asymmetric unit holds Tm at (0.000, 0.000, 0.000), Tm at (0.193, 0.500, 0.780), Tm at (0.798, 0.500, 0.187), Pu at (0.408, 0.000, 0.586), Sc at (0.216, 0.500, 0.291), Sc at (0.429, 0.000, 0.097), Sc at (0.617, 0.500, 0.868), Sc at (0.619, 0.500, 0.409), Sc at (0.812, 0.000, 0.685) and Sc at (0.996, 0.000, 0.468).

=====

Record 6
Computed, not measured: a geometry-optimized Ba2TmAsO6 structure at the PBE level of DFT.

Its volume is 14.9 Å³/atom. The total energy comes out at -408.3 eV/cell.

It has space group R-3m (No. 166, hexagonal axes), with a = 5.9243 Å, b = 5.9243 Å, c = 29.3569 Å, α = 90.00°, β = 90.00° and γ = 120.00°. The asymmetric unit holds Ba at (0.0000, 0.0000, 0.1322), Ba at (0.0000, 0.0000, 0.2823), Tm at (0.0000, 0.0000, 0.4045), As at (0.0000, 0.0000, 0.0000), As at (0.0000, 0.0000, 0.5000), O at (0.0329, 0.5164, 0.7032) and O at (0.0350, 0.5175, 0.1283).